# 1
{
  "formula": "In3IrRh2",
  "functional": "PBE",
  "state": "relaxed",
  "e_tot_ev_per_fu": -33.59,
  "e_form_ev_per_atom": -0.3012,
  "magmom_total_mub_per_atom": 0.000,
  "lattice_angstrom": [[4.453, 0.001, 0.018], [2.227, 6.674, 0.009], [-0.028, 0.000, 6.876]],
  "species": ["Ir", "In", "In", "Rh", "Rh", "In", "In", "In", "Ir", "Rh", "Rh", "In"],
  "frac_coords": [[0.333, 0.334, 0.000], [0.500, 0.000, 0.251], [0.834, 0.333, 0.748], [0.333, 0.333, 0.500], [0.000, 0.000, 0.000], [0.834, 0.333, 0.252], [0.166, 0.667, 0.252], [0.500, 0.000, 0.749], [0.667, 0.666, 0.000], [0.667, 0.667, 0.500], [0.000, 0.000, 0.500], [0.166, 0.667, 0.748]]
}


# 2
{
  "formula": "Ca2Pm5Y4",
  "functional": "PBE",
  "state": "relaxed",
  "e_tot_ev_per_fu": -51.64,
  "e_form_ev_per_atom": 0.1790,
  "magmom_total_mub_per_atom": 0.000,
  "lattice_angstrom": [[7.685, -2.157, -4.746], [-4.985, 7.631, 1.779], [-3.130, 2.615, 9.737]],
  "species": ["Pm", "Pm", "Y", "Pm", "Y", "Y", "Ca", "Pm", "Ca", "Pm", "Y"],
  "frac_coords": [[0.921, 0.650, 0.100], [0.449, 0.178, 0.100], [0.813, 0.585, 0.398], [0.079, 0.350, 0.900], [0.187, 0.415, 0.602], [0.602, 0.248, 0.850], [0.131, 0.201, 0.331], [0.500, 0.000, 0.500], [0.869, 0.799, 0.669], [0.551, 0.822, 0.900], [0.398, 0.752, 0.150]]
}


# 3
{
  "formula": "Dy5Tl4Ni",
  "functional": "PBE",
  "state": "relaxed",
  "e_tot_ev_per_fu": -40.18,
  "e_form_ev_per_atom": -0.1918,
  "magmom_total_mub_per_atom": 0.000,
  "lattice_angstrom": [[5.342, 0.000, 0.000], [2.671, 7.257, 0.000], [2.671, 0.000, 7.257]],
  "species": ["Ni", "Dy", "Tl", "Dy", "Tl", "Dy", "Tl", "Dy", "Tl", "Dy"],
  "frac_coords": [[0.001, 0.000, 0.000], [0.193, 0.971, 0.645], [0.492, 0.334, 0.684], [0.501, 0.000, 0.000], [0.176, 0.316, 0.334], [0.164, 0.645, 0.029], [0.510, 0.666, 0.316], [0.838, 0.355, 0.971], [0.826, 0.684, 0.666], [0.809, 0.029, 0.355]]
}


# 4
{
  "formula": "ZrInBr2",
  "functional": "PBE",
  "state": "relaxed",
  "e_tot_ev_per_fu": -16.26,
  "magmom_total_mub_per_atom": 0.104,
  "polymorph_energy_mev_per_atom": 353,
  "lattice_angstrom": [[4.786, 0.000, 0.000], [0.000, 3.545, -0.003], [0.000, 0.381, 6.010]],
  "species": ["Br", "In", "Zr", "Br"],
  "frac_coords": [[0.000, 0.912, 0.982], [0.500, 0.250, 0.250], [0.500, 0.750, 0.750], [0.000, 0.588, 0.518]]
}


# 5
{
  "formula": "SrTaGa2Si",
  "functional": "PBE",
  "state": "relaxed",
  "e_tot_ev_per_fu": -19.73,
  "magmom_total_mub_per_atom": 0.541,
  "polymorph_energy_mev_per_atom": 0,
  "lattice_angstrom": [[4.829, 0.000, 0.000], [0.000, 5.544, 0.000], [0.000, 0.000, 4.829]],
  "species": ["Sr", "Ga", "Si", "Ga", "Ta"],
  "frac_coords": [[0.000, 0.500, 0.000], [0.500, 0.000, 0.000], [0.000, 0.000, 0.000], [0.000, 0.000, 0.500], [0.500, 0.500, 0.500]]
}


# 6
{
  "formula": "La2PmTl3S6",
  "functional": "PBE",
  "state": "relaxed",
  "e_tot_ev_per_fu": -64.55,
  "magmom_total_mub_per_atom": 0.000,
  "lattice_angstrom": [[7.344, 0.000, 0.001], [-3.670, 6.361, 0.001], [-1.225, -2.120, 7.458]],
  "species": ["Tl", "S", "Pm", "La", "S", "S", "Tl", "S", "S", "La", "Tl", "S"],
  "frac_coords": [[0.834, 0.166, 0.500], [0.604, 0.932, 0.796], [0.000, 0.000, 0.000], [0.333, 0.667, 0.000], [0.396, 0.068, 0.204], [0.932, 0.604, 0.796], [0.166, 0.834, 0.500], [0.259, 0.259, 0.795], [0.068, 0.396, 0.204], [0.667, 0.333, 0.000], [0.500, 0.500, 0.500], [0.741, 0.741, 0.205]]
}


What did the fourth record say?
{
  "formula": "ZrInBr2",
  "functional": "PBE",
  "state": "relaxed",
  "e_tot_ev_per_fu": -16.26,
  "magmom_total_mub_per_atom": 0.104,
  "polymorph_energy_mev_per_atom": 353,
  "lattice_angstrom": [[4.786, 0.000, 0.000], [0.000, 3.545, -0.003], [0.000, 0.381, 6.010]],
  "species": ["Br", "In", "Zr", "Br"],
  "frac_coords": [[0.000, 0.912, 0.982], [0.500, 0.250, 0.250], [0.500, 0.750, 0.750], [0.000, 0.588, 0.518]]
}